# CaTl2AuCl (PBE, relaxed)
data_CaTl2AuCl
_chemical_formula_sum 'Ca2 Tl4 Au2 Cl2'
_cell_length_a 5.1021
_cell_length_b 5.1020
_cell_length_c 10.7780
_cell_angle_alpha 90.00
_cell_angle_beta 103.58
_cell_angle_gamma 90.00
_symmetry_space_group_name_H-M 'C 1 m 1'
_symmetry_Int_Tables_number 8
_symmetry_space_group_name_Hall 'C -2y'
loop_
_atom_site_label
_atom_site_type_symbol
_atom_site_fract_x
_atom_site_fract_y
_atom_site_fract_z
Ca1 Ca 0.0000 0.0000 0.0000
Tl1 Tl 0.2255 0.0000 0.4440
Tl2 Tl 0.3907 0.0000 0.7781
Au1 Au 0.3149 0.5000 0.6248
Cl1 Cl 0.0636 0.5000 0.1280
# - E: -3.0669 eV/atom
# - Raw formation energy: -695 meV per atom



# CaTl2AuCl (PBE, relaxed)
data_CaTl2AuCl
_chemical_formula_sum 'Ca2 Tl4 Au2 Cl2'
_cell_length_a 7.4021
_cell_length_b 4.1683
_cell_length_c 10.4144
_cell_angle_alpha 90.00
_cell_angle_beta 103.36
_cell_angle_gamma 90.00
_symmetry_space_group_name_H-M 'C 1 m 1'
_symmetry_Int_Tables_number 8
_symmetry_space_group_name_Hall 'C -2y'
loop_
_atom_site_label
_atom_site_type_symbol
_atom_site_fract_x
_atom_site_fract_y
_atom_site_fract_z
Ca1 Ca 0.0000 0.0000 0.0000
Tl1 Tl 0.2338 0.0000 0.6705
Tl2 Tl 0.3343 0.5000 0.4531
Au1 Au 0.1108 0.5000 0.8198
Cl1 Cl 0.3771 0.0000 0.1402
# - E: -3.1574 eV/atom
# - Raw formation energy: -786 meV per atom



# Ca4CoAu (PBE, relaxed)
data_Ca4CoAu
_chemical_formula_sum 'Ca16 Co4 Au4'
_cell_length_a 8.9165
_cell_length_b 8.9165
_cell_length_c 8.9165
_cell_angle_alpha 90.00
_cell_angle_beta 90.00
_cell_angle_gamma 90.00
_symmetry_space_group_name_H-M 'F -4 3 m'
_symmetry_Int_Tables_number 216
_symmetry_space_group_name_Hall 'F -4 2 3'
loop_
_atom_site_label
_atom_site_type_symbol
_atom_site_fract_x
_atom_site_fract_y
_atom_site_fract_z
Ca1 Ca 0.1248 0.1248 0.1248
Co1 Co 0.2500 0.2500 0.7500
Au1 Au 0.0000 0.0000 0.5000
# - E: -2.3265 eV/atom
# - Formation energy from the elements: 0.74 eV per atom



# Ca2CoAu (PBE, relaxed)
data_Ca2CoAu
_chemical_formula_sum 'Ca8 Co4 Au4'
_cell_length_a 6.9569
_cell_length_b 6.9569
_cell_length_c 6.9569
_cell_angle_alpha 90.00
_cell_angle_beta 90.00
_cell_angle_gamma 90.00
_symmetry_space_group_name_H-M 'F -4 3 m'
_symmetry_Int_Tables_number 216
_symmetry_space_group_name_Hall 'F -4 2 3'
loop_
_atom_site_label
_atom_site_type_symbol
_atom_site_fract_x
_atom_site_fract_y
_atom_site_fract_z
Ca1 Ca 0.0000 0.0000 0.0000
Ca2 Ca 0.2500 0.2500 0.2500
Co1 Co 0.2500 0.2500 0.7500
Au1 Au 0.0000 0.0000 0.5000
# - E: -3.4980 eV/atom
# - Formation energy from the elements: 0.10 eV per atom



# Ca2CoAu (PBE, relaxed)
data_Ca2CoAu
_chemical_formula_sum 'Ca4 Co2 Au2'
_cell_length_a 4.3406
_cell_length_b 4.1458
_cell_length_c 10.7818
_cell_angle_alpha 90.00
_cell_angle_beta 90.00
_cell_angle_gamma 90.00
_symmetry_space_group_name_H-M 'A m m 2'
_symmetry_Int_Tables_number 38
_symmetry_space_group_name_Hall 'A 2 -2'
loop_
_atom_site_label
_atom_site_type_symbol
_atom_site_fract_x
_atom_site_fract_y
_atom_site_fract_z
Ca1 Ca 0.0000 0.0000 0.0000
Ca2 Ca 0.5000 0.0000 0.2888
Co1 Co 0.5000 0.0000 0.5828
Au1 Au 0.0000 0.0000 0.7096
# - E: -3.8151 eV/atom
# - Formation energy from the elements: -0.22 eV per atom



# Ca2CoAu (PBE, relaxed)
data_Ca2CoAu
_chemical_formula_sum 'Ca2 Co1 Au1'
_cell_length_a 3.5313
_cell_length_b 3.5313
_cell_length_c 8.0000
_cell_angle_alpha 90.00
_cell_angle_beta 90.00
_cell_angle_gamma 90.00
_symmetry_space_group_name_H-M 'P 4 m m'
_symmetry_Int_Tables_number 99
_symmetry_space_group_name_Hall 'P 4 -2'
loop_
_atom_site_label
_atom_site_type_symbol
_atom_site_fract_x
_atom_site_fract_y
_atom_site_fract_z
Ca1 Ca 0.0000 0.0000 0.0000
Ca2 Ca 0.5000 0.5000 0.4066
Co1 Co 0.0000 0.0000 0.6386
Au1 Au 0.5000 0.5000 0.7728
# - E: -3.5947 eV/atom
# - Formation energy from the elements: 0.00 eV per atom



# CaCo4Au (PBE, relaxed)
data_CaCo4Au
_chemical_formula_sum 'Ca4 Co16 Au4'
_cell_length_a 7.0275
_cell_length_b 7.0275
_cell_length_c 7.0275
_cell_angle_alpha 90.00
_cell_angle_beta 90.00
_cell_angle_gamma 90.00
_symmetry_space_group_name_H-M 'F -4 3 m'
_symmetry_Int_Tables_number 216
_symmetry_space_group_name_Hall 'F -4 2 3'
loop_
_atom_site_label
_atom_site_type_symbol
_atom_site_fract_x
_atom_site_fract_y
_atom_site_fract_z
Ca1 Ca 0.0000 0.0000 0.0000
Co1 Co 0.1244 0.1244 0.3756
Au1 Au 0.2500 0.2500 0.7500
# - E: -5.5489 eV/atom
# - Formation energy from the elements: 0.07 eV per atom



# CaCoAu (PBE, relaxed)
data_CaCoAu
_chemical_formula_sum 'Ca1 Co1 Au1'
_cell_length_a 4.3496
_cell_length_b 4.3496
_cell_length_c 3.8546
_cell_angle_alpha 90.00
_cell_angle_beta 90.00
_cell_angle_gamma 120.00
_symmetry_space_group_name_H-M 'P -6 m 2'
_symmetry_Int_Tables_number 187
_symmetry_space_group_name_Hall 'P -6 2'
loop_
_atom_site_label
_atom_site_type_symbol
_atom_site_fract_x
_atom_site_fract_y
_atom_site_fract_z
Ca1 Ca 0.0000 0.0000 0.0000
Co1 Co 0.6667 0.3333 0.5000
Au1 Au 0.3333 0.6667 0.5000
# - E: -4.2487 eV/atom
# - Formation energy from the elements: -0.12 eV per atom



# Ca2Co2Au (PBE, relaxed)
data_Ca2Co2Au
_chemical_formula_sum 'Ca4 Co4 Au2'
_cell_length_a 6.7061
_cell_length_b 6.7061
_cell_length_c 4.3525
_cell_angle_alpha 90.00
_cell_angle_beta 90.00
_cell_angle_gamma 90.00
_symmetry_space_group_name_H-M 'P 4/m b m'
_symmetry_Int_Tables_number 127
_symmetry_space_group_name_Hall '-P 4 2ab'
loop_
_atom_site_label
_atom_site_type_symbol
_atom_site_fract_x
_atom_site_fract_y
_atom_site_fract_z
Ca1 Ca 0.1814 0.3186 0.0000
Co1 Co 0.1159 0.6159 0.5000
Au1 Au 0.0000 0.0000 0.5000
# - E: -4.3571 eV/atom
# - Formation energy from the elements: -0.06 eV per atom



# CaCoAu3 (PBE, relaxed)
data_CaCoAu3
_chemical_formula_sum 'Ca1 Co1 Au3'
_cell_length_a 4.8519
_cell_length_b 4.8519
_cell_length_c 4.8519
_cell_angle_alpha 90.00
_cell_angle_beta 90.00
_cell_angle_gamma 90.00
_symmetry_space_group_name_H-M 'P m -3 m'
_symmetry_Int_Tables_number 221
_symmetry_space_group_name_Hall '-P 4 2 3'
loop_
_atom_site_label
_atom_site_type_symbol
_atom_site_fract_x
_atom_site_fract_y
_atom_site_fract_z
Ca1 Ca 0.0000 0.0000 0.0000
Co1 Co 0.5000 0.5000 0.5000
Au1 Au 0.0000 0.5000 0.5000
# - E: -3.7977 eV/atom
# - Formation energy from the elements: -0.01 eV per atom



# Ca2CoAu (PBE, relaxed)
data_Ca2CoAu
_chemical_formula_sum 'Ca2 Co1 Au1'
_cell_length_a 3.8835
_cell_length_b 3.8835
_cell_length_c 6.3481
_cell_angle_alpha 90.00
_cell_angle_beta 90.00
_cell_angle_gamma 90.00
_symmetry_space_group_name_H-M 'P 4 m m'
_symmetry_Int_Tables_number 99
_symmetry_space_group_name_Hall 'P 4 -2'
loop_
_atom_site_label
_atom_site_type_symbol
_atom_site_fract_x
_atom_site_fract_y
_atom_site_fract_z
Ca1 Ca 0.0000 0.0000 0.0000
Ca2 Ca 0.5000 0.5000 0.3730
Co1 Co 0.0000 0.0000 0.5444
Au1 Au 0.5000 0.5000 0.8268
# - E: -3.5244 eV/atom
# - Formation energy from the elements: 0.07 eV per atom



# CaCo3Au (PBE, relaxed)
data_CaCo3Au
_chemical_formula_sum 'Ca1 Co3 Au1'
_cell_length_a 4.4483
_cell_length_b 4.4483
_cell_length_c 4.4483
_cell_angle_alpha 90.00
_cell_angle_beta 90.00
_cell_angle_gamma 90.00
_symmetry_space_group_name_H-M 'P m -3 m'
_symmetry_Int_Tables_number 221
_symmetry_space_group_name_Hall '-P 4 2 3'
loop_
_atom_site_label
_atom_site_type_symbol
_atom_site_fract_x
_atom_site_fract_y
_atom_site_fract_z
Ca1 Ca 0.0000 0.0000 0.0000
Co1 Co 0.0000 0.0000 0.5000
Au1 Au 0.5000 0.5000 0.5000
# - E: -3.5441 eV/atom
# - Formation energy from the elements: 1.78 eV per atom